Entry 1:
The following is a DFT calculation (PBE) of a relaxed structure of SrFeCoSe3.

Output
- offset from the most stable computed form (eV per atom) = 0.000

Cell lengths 6.9809, 6.9809, 9.3193 Å; angles 90.00, 90.00, 32.96 degrees
Fractional positions:
Co 0.0000 0.0000 0.0000
Co 0.0000 0.0000 0.5000
Fe 0.4741 0.4741 0.2500
Fe 0.5259 0.5259 0.7500
Se 0.3745 0.3745 0.0395
Se 0.0728 0.0728 0.2500
Se 0.3745 0.3745 0.4605
Se 0.6255 0.6255 0.5395
Se 0.9272 0.9272 0.7500
Se 0.6255 0.6255 0.9605
Sr 0.7610 0.7610 0.2500
Sr 0.2390 0.2390 0.7500

---

Entry 2:
The following is a DFT calculation (PBE) of a relaxed structure of TlFeCoSe3.

Output
- electronic total energy (eV per atom) = -4.97

Cell lengths 8.1760, 3.5570, 9.6383 Å; angles 90.00, 113.58, 90.00 degrees
Fractional positions:
Co 0.9754 0.2500 0.1542
Co 0.0246 0.7500 0.8458
Fe 0.9681 0.7500 0.3986
Fe 0.0319 0.2500 0.6014
Se 0.1478 0.7500 0.1149
Se 0.7634 0.7500 0.1425
Se 0.1807 0.2500 0.4275
Se 0.8193 0.7500 0.5725
Se 0.2366 0.2500 0.8575
Se 0.8522 0.2500 0.8851
Tl 0.5191 0.2500 0.2759
Tl 0.4809 0.7500 0.7241

---

> What is the formula in the first record?

SrFeCoSe3

---

> What is the formula in the first record?

SrFeCoSe3